Record 1
## ZrP2SO (PBE)

Data for crystalline ZrP2SO at its relaxed geometry.

## Properties
- Relative energy among the computed polymorphs: 0.000 eV/f.u.
- Uncorrected formation energy: -5.29 kcal/mol of atoms
- Theoretical density: 4.3 g/cm3

a b c (Å): 3.777 3.777 5.477
angles (deg): 90.00 90.00 90.00
Fractional coordinates of all 5 atoms:
P  0.000  0.500  0.000
P  0.500  0.000  0.000
S  0.000  0.000  0.500
O  0.000  0.000  0.000
Zr  0.500  0.500  0.500

Record 2
## SrPrGa2 (PBE)

Data for crystalline SrPrGa2 at its relaxed geometry.

## Properties
- ΔH_f (0 K): -0.2289 eV per atom
- Theoretical density: 5.0 g/cm3

a b c (Å): 3.936 3.936 9.460
angles (deg): 77.99 77.99 60.00
Fractional coordinates of all 4 atoms:
Pr  0.500  0.500  0.500
Sr  0.000  0.000  0.000
Ga  0.247  0.247  0.260
Ga  0.753  0.753  0.740

| no. | size of the total moment (μB/f.u.) |
| --- | --- |
| 1 | 0.000 |
| 2 | 0.000 |